Record 1
# Y5ThTl6 (PBE-GGA, optimized geometry)
data_Y5ThTl6
_chemical_formula_sum 'Y10 Th2 Tl12'
_symmetry_space_group_name_H-M 'I m m m'
_symmetry_Int_Tables_number 71
_symmetry_space_group_name_Hall '-I 2 2'
_cell_length_a 5.427
_cell_length_b 7.548
_cell_length_c 16.275
_cell_angle_alpha 90.00
_cell_angle_beta 90.00
_cell_angle_gamma 90.00
loop_
_atom_site_label
_atom_site_type_symbol
_atom_site_fract_x
_atom_site_fract_y
_atom_site_fract_z
Y1 Y 0.000 0.000 0.000
Y2 Y 0.000 0.000 0.340
Y3 Y 0.000 0.500 0.331
Th1 Th 0.000 0.500 0.000
Tl1 Tl 0.000 0.243 0.170
Tl2 Tl 0.000 0.264 0.500
# VASP energy (eV/cell): -115.6
# Formation enthalpy at 0 K (kJ/mol of atoms): -31.1
# Crystal system: orthorhombic


Record 2
# Tm3ScTl (PBE-GGA, optimized geometry)
data_Tm3ScTl
_chemical_formula_sum 'Tm12 Sc4 Tl4'
_symmetry_space_group_name_H-M 'C m c m'
_symmetry_Int_Tables_number 63
_symmetry_space_group_name_Hall '-C 2c 2'
_cell_length_a 4.689
_cell_length_b 24.426
_cell_length_c 4.700
_cell_angle_alpha 90.00
_cell_angle_beta 90.00
_cell_angle_gamma 90.00
loop_
_atom_site_label
_atom_site_type_symbol
_atom_site_fract_x
_atom_site_fract_y
_atom_site_fract_z
Tm1 Tm 0.000 0.050 0.250
Tm2 Tm 0.000 0.251 0.250
Tm3 Tm 0.000 0.446 0.250
Sc1 Sc 0.000 0.151 0.750
Tl1 Tl 0.000 0.349 0.750
# VASP energy (eV/cell): -90.5
# Formation enthalpy at 0 K (kJ/mol of atoms): -10.1
# Crystal system: orthorhombic


Record 3
# Er2Zn5HgRu2 (PBE-GGA, optimized geometry)
data_Er2Zn5HgRu2
_chemical_formula_sum 'Er4 Zn10 Hg2 Ru4'
_symmetry_space_group_name_H-M 'P 4/m b m'
_symmetry_Int_Tables_number 127
_symmetry_space_group_name_Hall '-P 4 2ab'
_cell_length_a 9.412
_cell_length_b 9.412
_cell_length_c 4.159
_cell_angle_alpha 90.00
_cell_angle_beta 90.00
_cell_angle_gamma 90.00
loop_
_atom_site_label
_atom_site_type_symbol
_atom_site_fract_x
_atom_site_fract_y
_atom_site_fract_z
Er1 Er 0.174 0.326 0.000
Zn1 Zn 0.000 0.500 0.500
Zn2 Zn 0.065 0.786 0.500
Hg1 Hg 0.000 0.000 0.000
Ru1 Ru 0.120 0.620 0.000
# VASP energy (eV/cell): -72.3
# Formation enthalpy at 0 K (kJ/mol of atoms): -17.3
# Crystal system: tetragonal


Look up the formation enthalpy at 0 K of the second one. -10.1 kJ/mol of atoms